[1]
Computed, not measured: a geometry-optimized In4Cl structure at the PBE level of DFT.

Values from the calculation:
**E**: -2.70 eV/atom
**Total magnetization**: 0.000 μB/atom
**Energy relative to the elements, uncorrected**: -0.137 eV/atom
**Space-group type**: I4/mmm, No. 139

Lattice parameters (Å, degrees): 4.292 4.292 16.044 90.00 90.00 90.00
Fractional positions:
In1 0.000 0.000 0.091
In2 0.000 0.000 0.909
In3 0.000 0.500 0.250
In4 0.000 0.500 0.750
In5 0.500 0.000 0.250
In6 0.500 0.000 0.750
In7 0.500 0.500 0.409
In8 0.500 0.500 0.591
Cl1 0.000 0.000 0.500
Cl2 0.500 0.500 0.000

***

[2]
Computed, not measured: a geometry-optimized InCl2 structure at the PBE level of DFT.

Values from the calculation:
**E**: -2.79 eV/atom
**Total magnetization**: 0.000 μB/atom
**Energy relative to the elements, uncorrected**: -0.646 eV/atom
**Space-group type**: I4/mmm, No. 139

Lattice parameters (Å, degrees): 3.554 3.554 13.096 90.00 90.00 90.00
Fractional positions:
In1 0.000 0.000 0.000
In2 0.500 0.500 0.500
Cl1 0.000 0.000 0.380
Cl2 0.000 0.000 0.620
Cl3 0.500 0.500 0.120
Cl4 0.500 0.500 0.880

***

[3]
Computed, not measured: a geometry-optimized InCl2 structure at the PBE level of DFT.

Values from the calculation:
**E**: -2.91 eV/atom
**Total magnetization**: 0.000 μB/atom
**Energy relative to the elements, uncorrected**: -0.764 eV/atom
**Space-group type**: Cmcm, No. 63

Lattice parameters (Å, degrees): 3.638 25.213 4.134 90.00 90.00 90.00
Fractional positions:
In1 0.000 0.113 0.250
In2 0.000 0.887 0.750
In3 0.500 0.387 0.750
In4 0.500 0.613 0.250
Cl1 0.000 0.312 0.750
Cl2 0.000 0.426 0.250
Cl3 0.000 0.574 0.750
Cl4 0.000 0.688 0.250
Cl5 0.500 0.074 0.750
Cl6 0.500 0.188 0.250
Cl7 0.500 0.812 0.750
Cl8 0.500 0.926 0.250

***

[4]
Computed, not measured: a geometry-optimized InCl5 structure at the PBE level of DFT.

Values from the calculation:
**E**: -2.67 eV/atom
**Total magnetization**: 0.000 μB/atom
**Energy relative to the elements, uncorrected**: -0.671 eV/atom
**Space-group type**: Pm, No. 6

Lattice parameters (Å, degrees): 3.746 5.142 11.082 90.00 98.95 90.00
Fractional positions:
In1 0.000 0.000 0.000
Cl1 0.127 0.500 0.586
Cl2 0.427 0.000 0.841
Cl3 0.572 0.000 0.159
Cl4 0.915 0.500 0.410
Cl5 0.996 0.500 0.000

***

[5]
Computed, not measured: a geometry-optimized InCl structure at the PBE level of DFT.

Values from the calculation:
**E**: -3.11 eV/atom
**Total magnetization**: 0.000 μB/atom
**Energy relative to the elements, uncorrected**: -0.819 eV/atom
**Space-group type**: P2_1/m, No. 11

Lattice parameters (Å, degrees): 4.422 4.476 6.564 90.00 108.56 90.00
Fractional positions:
In1 0.130 0.250 0.227
In2 0.870 0.750 0.773
Cl1 0.343 0.250 0.689
Cl2 0.657 0.750 0.311

***

[6]
Computed, not measured: a geometry-optimized InCl structure at the PBE level of DFT.

Values from the calculation:
**E**: -3.10 eV/atom
**Total magnetization**: 0.000 μB/atom
**Energy relative to the elements, uncorrected**: -0.803 eV/atom
**Space-group type**: Fddd, No. 70

Lattice parameters (Å, degrees): 8.046 7.532 6.444 69.79 61.47 48.74
Fractional positions:
In1 0.103 0.647 0.647
In2 0.353 0.897 0.897
In3 0.647 0.103 0.103
In4 0.897 0.353 0.353
Cl1 0.178 0.572 0.178
Cl2 0.428 0.822 0.428
Cl3 0.572 0.178 0.572
Cl4 0.822 0.428 0.822

***

Please write out number 2 again, unchanged.
Computed, not measured: a geometry-optimized InCl2 structure at the PBE level of DFT.

Values from the calculation:
**E**: -2.79 eV/atom
**Total magnetization**: 0.000 μB/atom
**Energy relative to the elements, uncorrected**: -0.646 eV/atom
**Space-group type**: I4/mmm, No. 139

Lattice parameters (Å, degrees): 3.554 3.554 13.096 90.00 90.00 90.00
Fractional positions:
In1 0.000 0.000 0.000
In2 0.500 0.500 0.500
Cl1 0.000 0.000 0.380
Cl2 0.000 0.000 0.620
Cl3 0.500 0.500 0.120
Cl4 0.500 0.500 0.880